The following is a PBE with a Hubbard U calculation of a geometry-optimized MnI2O2 structure, from Alexandria.

## Properties
The density of states at the Fermi level is 0.576 states/eV per atom. Its calculated volume is 115 Å³ per cell. Its raw total energy is -4.169 eV/atom.

a b c (Å): 4.1477 4.1477 6.7067
angles (deg): 90.00 90.00 90.00
Sites, in units of the cell vectors:
1 Mn 0.0000 0.0000 0.0000
2 I 0.0000 0.0000 0.5000
3 I 0.5000 0.5000 0.5000
4 O 0.0000 0.5000 0.0000
5 O 0.5000 0.0000 0.0000